# Sm3Tm4Sc, optimized geometry, DFT PBE-GGA
data_Sm3Tm4Sc
_chemical_formula_sum 'Sm6 Tm8 Sc2'
_symmetry_space_group_name_H-M 'P 1'
_symmetry_Int_Tables_number 1
_symmetry_space_group_name_Hall 'P 1'
_cell_length_a 6.188
_cell_length_b 7.190
_cell_length_c 11.156
_cell_angle_alpha 90.00
_cell_angle_beta 90.00
_cell_angle_gamma 90.00
loop_
_atom_site_label
_atom_site_fract_x
_atom_site_fract_y
_atom_site_fract_z
Sm1 0.647 0.627 0.000
Sm2 0.980 0.624 0.250
Sm3 0.480 0.376 0.250
Sm4 0.147 0.373 0.500
Sm5 0.480 0.376 0.750
Sm6 0.980 0.624 0.750
Tm1 0.150 0.877 0.000
Tm2 0.647 0.123 0.000
Tm3 0.984 0.124 0.245
Tm4 0.484 0.876 0.255
Tm5 0.147 0.877 0.500
Tm6 0.650 0.123 0.500
Tm7 0.484 0.876 0.745
Tm8 0.984 0.124 0.755
Sc1 0.145 0.370 0.000
Sc2 0.645 0.630 0.500
# Total moment, Bohr magnetons per cell: 0.00
# Energy relative to the elements, kJ/mol of formula units: 17
# Crystal system: orthorhombic
# N(E_F), states/eV/f.u.: 13.58